(1)
DFT (GGA-PBEsol) results for an optimized crystal structure of BaMgZn2.

a b c (Å): 4.3111 4.0337 12.3066
angles (deg): 90.00 90.00 90.00
Space group Amm2 (No. 38)
Symmetry-distinct sites (fractional):
1 Ba 0.0000 0.0000 0.0000 x2
2 Mg 0.5000 0.0000 0.2861 x2
3 Zn 0.0000 0.0000 0.7300 x2
4 Zn 0.5000 0.0000 0.6285 x2

Calculated values
V: 26.751 A^3/atom
Formation enthalpy at 0 K: -0.3 eV per formula unit


(2)
DFT (GGA-PBEsol) results for an optimized crystal structure of BaMgZr3.

a b c (Å): 5.2675 5.2675 5.2675
angles (deg): 90.00 90.00 90.00
Space group Pm-3m (No. 221)
Symmetry-distinct sites (fractional):
1 Ba 0.0000 0.0000 0.0000 x1
2 Mg 0.5000 0.5000 0.5000 x1
3 Zr 0.0000 0.5000 0.5000 x3

Calculated values
V: 29.230 A^3/atom
Formation enthalpy at 0 K: 5.4 eV per formula unit


(3)
DFT (GGA-PBEsol) results for an optimized crystal structure of BaMgZr2.

a b c (Å): 3.1687 5.5014 6.2769
angles (deg): 90.00 99.39 90.00
Space group P2/m (No. 10)
Symmetry-distinct sites (fractional):
1 Ba 0.0000 0.0000 0.0000 x1
2 Mg 0.5000 0.0000 0.5000 x1
3 Zr 0.3059 0.5000 0.7046 x2

Calculated values
V: 26.989 A^3/atom
Formation enthalpy at 0 K: 1.7 eV per formula unit


(4)
DFT (GGA-PBEsol) results for an optimized crystal structure of BaMgZr2.

a b c (Å): 3.3918 5.4805 11.4883
angles (deg): 90.00 90.00 90.00
Space group Immm (No. 71)
Symmetry-distinct sites (fractional):
1 Ba 0.0000 0.0000 0.0000 x2
2 Mg 0.0000 0.0000 0.5000 x2
3 Zr 0.0000 0.5000 0.2268 x4

Calculated values
V: 26.695 A^3/atom
Formation enthalpy at 0 K: 1.6 eV per formula unit


(5)
DFT (GGA-PBEsol) results for an optimized crystal structure of Ba2Mn.

a b c (Å): 4.0425 19.6292 5.8575
angles (deg): 90.00 90.00 90.00
Space group Cmcm (No. 63)
Symmetry-distinct sites (fractional):
1 Ba 0.0000 0.0727 0.2500 x4
2 Ba 0.0000 0.2020 0.7500 x4
3 Mn 0.0000 0.4394 0.2500 x4

Calculated values
V: 38.734 A^3/atom
Formation enthalpy at 0 K: 1.8 eV per formula unit


(6)
DFT (GGA-PBEsol) results for an optimized crystal structure of Ba5Mn.

a b c (Å): 6.4587 4.6140 19.2064
angles (deg): 90.00 90.00 90.00
Space group Amm2 (No. 38)
Symmetry-distinct sites (fractional):
1 Ba 0.0000 0.0000 0.0000 x2
2 Ba 0.0000 0.0000 0.2751 x2
3 Ba 0.5000 0.0000 0.1374 x2
4 Ba 0.5000 0.0000 0.4682 x2
5 Ba 0.5000 0.0000 0.8063 x2
6 Mn 0.0000 0.0000 0.6376 x2

Calculated values
V: 47.696 A^3/atom
Formation enthalpy at 0 K: 2.2 eV per formula unit


(7)
DFT (GGA-PBEsol) results for an optimized crystal structure of Ba2Mn.

a b c (Å): 5.9107 5.9107 7.5129
angles (deg): 90.00 90.00 120.00
Space group P6_3/mmc (No. 194)
Symmetry-distinct sites (fractional):
1 Ba 0.0000 0.0000 0.0000 x2
2 Ba 0.3333 0.6667 0.2500 x2
3 Mn 0.3333 0.6667 0.7500 x2

Calculated values
V: 37.885 A^3/atom
Formation enthalpy at 0 K: 1.9 eV per formula unit


(8)
DFT (GGA-PBEsol) results for an optimized crystal structure of Ba3Mn.

a b c (Å): 5.5304 5.5304 5.5304
angles (deg): 90.00 90.00 90.00
Space group Pm-3m (No. 221)
Symmetry-distinct sites (fractional):
1 Ba 0.0000 0.0000 0.5000 x3
2 Mn 0.5000 0.5000 0.5000 x1

Calculated values
V: 42.287 A^3/atom
Formation enthalpy at 0 K: 2.3 eV per formula unit


Question: What is the formation enthalpy at 0 K in the eighth record?
Answer: 2.3 eV per formula unit